(1)
The following is a meta-GGA SCAN calculation of CeSi2Os2 at its PBEsol-relaxed geometry, from Alexandria via LeMat-Bulk.

Raw formation energy in eV/atom: -0.799

a = 5.6662 Å, b = 5.6662 Å, c = 5.6662 Å
α = 137.03°, β = 137.03°, γ = 62.39°
Sites, in units of the cell vectors:
Ce: 0.0000 0.0000 0.0000
Si: 0.3722 0.3722 0.0000
Si: 0.6278 0.6278 0.0000
Os: 0.2500 0.7500 0.5000
Os: 0.7500 0.2500 0.5000



(2)
The following is a meta-GGA SCAN calculation of CeP at its PBEsol-relaxed geometry, from Alexandria via LeMat-Bulk.

E_form in eV per atom: -1.65

a = 4.0310 Å, b = 4.0310 Å, c = 4.0310 Å
α = 60.00°, β = 60.00°, γ = 60.00°
Sites, in units of the cell vectors:
Ce: 0.0000 0.0000 0.0000
P: 0.5000 0.5000 0.5000



(3)
The following is a meta-GGA SCAN calculation of Ce3P6Pd20 at its PBEsol-relaxed geometry, from Alexandria via LeMat-Bulk.

E_form in eV per atom: -0.73

a = 8.5907 Å, b = 8.5907 Å, c = 8.5907 Å
α = 60.00°, β = 60.00°, γ = 60.00°
Sites, in units of the cell vectors:
Ce: 0.0000 0.0000 0.0000
Ce: 0.2500 0.2500 0.2500
Ce: 0.7500 0.7500 0.7500
P: 0.2636 0.2636 0.7364
P: 0.2636 0.7364 0.2636
P: 0.2636 0.7364 0.7364
P: 0.7364 0.2636 0.2636
P: 0.7364 0.2636 0.7364
P: 0.7364 0.7364 0.2636
Pd: 0.0000 0.0000 0.3464
Pd: 0.0000 0.0000 0.6536
Pd: 0.0000 0.3464 0.0000
Pd: 0.0000 0.3464 0.6536
Pd: 0.0000 0.6536 0.0000
Pd: 0.0000 0.6536 0.3464
Pd: 0.1542 0.6153 0.6153
Pd: 0.3464 0.0000 0.0000
Pd: 0.3464 0.0000 0.6536
Pd: 0.3464 0.6536 0.0000
Pd: 0.3847 0.3847 0.3847
Pd: 0.3847 0.3847 0.8458
Pd: 0.3847 0.8458 0.3847
Pd: 0.6153 0.1542 0.6153
Pd: 0.6153 0.6153 0.1542
Pd: 0.6153 0.6153 0.6153
Pd: 0.6536 0.0000 0.0000
Pd: 0.6536 0.0000 0.3464
Pd: 0.6536 0.3464 0.0000
Pd: 0.8458 0.3847 0.3847



(4)
The following is a meta-GGA SCAN calculation of CePPd at its PBEsol-relaxed geometry, from Alexandria via LeMat-Bulk.

E_form in eV per atom: -1.33

a = 4.1425 Å, b = 4.1425 Å, c = 7.7370 Å
α = 90.00°, β = 90.00°, γ = 120.00°
Sites, in units of the cell vectors:
Ce: 0.0000 0.0000 0.0000
Ce: 0.0000 0.0000 0.5000
P: 0.3333 0.6667 0.2500
P: 0.6667 0.3333 0.7500
Pd: 0.3333 0.6667 0.7500
Pd: 0.6667 0.3333 0.2500



(5)
The following is a meta-GGA SCAN calculation of CeP2Pt2 at its PBEsol-relaxed geometry, from Alexandria via LeMat-Bulk.

E_form in eV per atom: -1.11

a = 9.9737 Å, b = 9.9737 Å, c = 9.9737 Å
α = 155.45°, β = 155.45°, γ = 34.99°
Sites, in units of the cell vectors:
Ce: 0.1275 0.1275 0.0000
Ce: 0.8725 0.8725 0.0000
P: 0.2500 0.7500 0.5000
P: 0.4296 0.4296 0.0000
P: 0.5704 0.5704 0.0000
P: 0.7500 0.2500 0.5000
Pt: 0.0000 0.5000 0.5000
Pt: 0.3072 0.3072 0.0000
Pt: 0.5000 0.0000 0.5000
Pt: 0.6928 0.6928 0.0000



(6)
The following is a meta-GGA SCAN calculation of CeP2Pt4 at its PBEsol-relaxed geometry, from Alexandria via LeMat-Bulk.

E_form in eV per atom: -1.01

a = 7.2907 Å, b = 4.1117 Å, c = 15.4678 Å
α = 90.00°, β = 90.00°, γ = 90.00°
Sites, in units of the cell vectors:
Ce: 0.1556 0.2500 0.1805
Ce: 0.3444 0.7500 0.6805
Ce: 0.6556 0.2500 0.3195
Ce: 0.8444 0.7500 0.8195
P: 0.1823 0.2500 0.8076
P: 0.2058 0.2500 0.5565
P: 0.2942 0.7500 0.0565
P: 0.3177 0.7500 0.3076
P: 0.6823 0.2500 0.6924
P: 0.7058 0.2500 0.9435
P: 0.7942 0.7500 0.4435
P: 0.8177 0.7500 0.1924
Pt: 0.0128 0.2500 0.6824
Pt: 0.0235 0.2500 0.9418
Pt: 0.1283 0.7500 0.4943
Pt: 0.2424 0.2500 0.3745
Pt: 0.2576 0.7500 0.8745
Pt: 0.3717 0.2500 0.9943
Pt: 0.4765 0.7500 0.4418
Pt: 0.4872 0.7500 0.1824
Pt: 0.5128 0.2500 0.8176
Pt: 0.5235 0.2500 0.5582
Pt: 0.6283 0.7500 0.0057
Pt: 0.7424 0.2500 0.1255
Pt: 0.7576 0.7500 0.6255
Pt: 0.8717 0.2500 0.5057
Pt: 0.9765 0.7500 0.0582
Pt: 0.9872 0.7500 0.3176



| no. | M_tot (μB/f.u.) |
| --- | --- |
| 1 | 0.81 |
| 2 | 0.67 |
| 3 | 2.11 |
| 4 | 1.02 |
| 5 | 0.96 |
| 6 | 0.75 |